This record from Alexandria describes Ti2NiMo after structural relaxation. The functional is PBEsol.

Unit cell a=4.2997 b=4.2997 c=4.2997 alpha=60.00 beta=60.00 gamma=60.00
With the nearest neighbours (Å) after each atom.
Atoms (fractional coordinates):
Ti (0.2500, 0.2500, 0.2500)  4 Mo 2.63, 4 Ni 2.63
Ti (0.7500, 0.7500, 0.7500)  4 Ni 2.63, 4 Mo 2.63
Mo (0.0000, 0.0000, 0.0000)  8 Ti 2.63
Ni (0.5000, 0.5000, 0.5000)  8 Ti 2.63

formation energy: -0.285 eV per atom
symmetry: Fm-3m (225)
total magnetization: 0.00 μB/f.u.



This record from Alexandria describes Sb2WO6 after structural relaxation. The functional is PBEsol.

Unit cell a=4.9693 b=5.5384 c=9.1628 alpha=95.17 beta=90.00 gamma=90.00
With the nearest neighbours (Å) after each atom.
Atoms (fractional coordinates):
Sb (0.0459, 0.3964, 0.8327)  3 O 2.01-2.11
Sb (0.9538, 0.1058, 0.1655)  3 O 2.01-2.11
Sb (0.5459, 0.6036, 0.1673)  3 O 2.01-2.11
Sb (0.4538, 0.8942, 0.8345)  3 O 2.01-2.11
O (0.6484, 0.2423, 0.3102)  1 W 1.90, 1 Sb 2.11
O (0.8576, 0.7383, 0.3089)  1 W 1.89, 1 Sb 2.11
O (0.1736, 0.1069, 0.9379)  2 Sb 2.01-2.04
O (0.3185, 0.6098, 0.9427)  2 Sb 2.01-2.05
O (0.1484, 0.7577, 0.6898)  1 W 1.90, 1 Sb 2.11
O (0.2686, 0.9704, 0.4406)  2 W 1.84-2.04
O (0.3576, 0.2617, 0.6911)  1 W 1.89, 1 Sb 2.11
O (0.2274, 0.4739, 0.4420)  1 W 1.83
O (0.6736, 0.8931, 0.0621)  2 Sb 2.01-2.04
O (0.8185, 0.3902, 0.0573)  2 Sb 2.01-2.05
O (0.7686, 0.0296, 0.5594)  2 W 1.84-2.04
O (0.7274, 0.5261, 0.5580)  1 W 1.83
W (0.4673, 0.2451, 0.4926)  5 O 1.83-2.04
W (0.9673, 0.7549, 0.5074)  5 O 1.83-2.04

symmetry: P2_1 (4)
total magnetization: 0.00 μB/f.u.
energy: -7.76 eV per atom



This record from Alexandria describes La2MnSe after structural relaxation. The functional is PBEsol.

Unit cell a=3.5364 b=5.2342 c=5.2342 alpha=90.00 beta=90.00 gamma=90.00
With the nearest neighbours (Å) after each atom.
Atoms (fractional coordinates):
Se (0.5000, 0.0000, 0.0000)  8 La 3.16, 2 Se 3.54
La (0.0000, 0.5000, 0.0000)  4 Se 3.16, 4 Mn 3.16, 2 La 3.54
La (0.0000, 0.0000, 0.5000)  4 Se 3.16, 4 Mn 3.16, 2 La 3.54
Mn (0.5000, 0.5000, 0.5000)  8 La 3.16, 2 Mn 3.54

symmetry: P4/mmm (123)
total magnetization: 3.02 μB/f.u.
energy: -6.62 eV per atom



This record from Alexandria describes PbS2BrCl after structural relaxation. The functional is PBEsol.

Unit cell a=5.1816 b=5.2453 c=5.2453 alpha=90.00 beta=90.00 gamma=90.00
With the nearest neighbours (Å) after each atom.
Atoms (fractional coordinates):
S (0.0000, 0.0000, 0.5000)  2 Pb 2.62
S (0.0000, 0.5000, 0.0000)  2 Pb 2.62
Pb (0.0000, 0.0000, 0.0000)  2 Cl 2.59, 4 S 2.62
Br (0.5000, 0.5000, 0.5000)  8 S 3.69, 4 Cl 3.71
Cl (0.5000, 0.0000, 0.0000)  2 Pb 2.59

symmetry: P4/mmm (123)
total magnetization: 2.72 μB/f.u.
energy: -2.88 eV per atom



This record from Alexandria describes MgTlPb2 after structural relaxation. The functional is PBEsol.

Unit cell a=3.4480 b=3.4480 c=9.1396 alpha=90.00 beta=90.00 gamma=90.00
With the nearest neighbours (Å) after each atom.
Atoms (fractional coordinates):
Mg (0.5000, 0.5000, 0.7429)  4 Tl 3.17, 4 Pb 3.26, 4 Mg 3.45
Tl (0.0000, 0.0000, 0.5209)  4 Mg 3.17, 4 Pb 3.43, 4 Tl 3.45
Pb (0.0000, 0.0000, 0.9796)  4 Mg 3.26, 8 Pb 3.45-3.51
Pb (0.5000, 0.5000, 0.2566)  4 Tl 3.43, 8 Pb 3.45-3.51

formation energy: -0.035 eV per atom
symmetry: P4mm (99)
total magnetization: 0.00 μB/f.u.



This record from Alexandria describes SrAu2S4O16 after structural relaxation. The functional is PBEsol.

Unit cell a=9.2788 b=9.2788 c=10.6178 alpha=103.23 beta=103.23 gamma=116.42
With the nearest neighbours (Å) after each atom.
Atoms (fractional coordinates):
S (0.7374, 0.8514, 0.9925)  4 O 1.44-1.54
S (0.2417, 0.6296, 0.9724)  4 O 1.44-1.54
S (0.2626, 0.1486, 0.0075)  4 O 1.44-1.54
S (0.7583, 0.3704, 0.0276)  4 O 1.44-1.54
S (0.6296, 0.2417, 0.4724)  4 O 1.44-1.54
S (0.3704, 0.7583, 0.5276)  4 O 1.44-1.54
S (0.1486, 0.2626, 0.5075)  4 O 1.44-1.54
S (0.8514, 0.7374, 0.4925)  4 O 1.44-1.54
O (0.3370, 0.4140, 0.5972)  1 S 1.54
O (0.4636, 0.1118, 0.3617)  1 S 1.44
O (0.2188, 0.0717, 0.1070)  1 S 1.44
O (0.0717, 0.2188, 0.6070)  1 S 1.44
O (0.1858, 0.7117, 0.0665)  1 S 1.44
O (0.1285, 0.1499, 0.9079)  1 S 1.44
O (0.6764, 0.2535, 0.1040)  1 S 1.54
O (0.3236, 0.7465, 0.8960)  1 S 1.54
O (0.6748, 0.9451, 0.0850)  1 S 1.54
O (0.8501, 0.8715, 0.5921)  1 S 1.44
O (0.4140, 0.3370, 0.0972)  1 S 1.54
O (0.1118, 0.4636, 0.8617)  1 S 1.44
O (0.2535, 0.6764, 0.6040)  1 S 1.54
O (0.6172, 0.3825, 0.9291)  1 S 1.54
O (0.1499, 0.1285, 0.4079)  1 S 1.44
O (0.7812, 0.9283, 0.8930)  1 S 1.44
O (0.8882, 0.5364, 0.1383)  1 S 1.44
O (0.7117, 0.1858, 0.5665)  1 S 1.44
O (0.8715, 0.8501, 0.0921)  1 S 1.44
O (0.8142, 0.2883, 0.9335)  1 S 1.44
O (0.6630, 0.5860, 0.4028)  1 S 1.54
O (0.5860, 0.6630, 0.9028)  1 S 1.54
O (0.7465, 0.3236, 0.3960)  1 S 1.54
O (0.9451, 0.6748, 0.5850)  1 S 1.54
O (0.9283, 0.7812, 0.3930)  1 S 1.44
O (0.3825, 0.6172, 0.4291)  1 S 1.54
O (0.3828, 0.6175, 0.0709)  1 S 1.54
O (0.2883, 0.8142, 0.4335)  1 S 1.44
O (0.3252, 0.0549, 0.9150)  1 S 1.54
O (0.0549, 0.3252, 0.4150)  1 S 1.54
O (0.5364, 0.8882, 0.6383)  1 S 1.44
O (0.6175, 0.3828, 0.5709)  1 S 1.54
Au (0.5000, 0.5000, 0.0000)  4 O 2.00
Au (0.5000, 0.5000, 0.5000)  4 O 2.00
Au (0.0000, 0.5000, 0.5000)  4 O 2.00
Au (0.5000, 0.0000, 0.0000)  4 O 2.00
Sr (0.1278, 0.8722, 0.2500)  8 O 2.47-2.64
Sr (0.8722, 0.1278, 0.7500)  8 O 2.47-2.64

symmetry: C2/c (15)
total magnetization: 0.00 μB/f.u.
energy: -6.13 eV per atom



This record from Alexandria describes Ti2SbN after structural relaxation. The functional is PBEsol.

Unit cell a=5.5043 b=5.5043 c=5.5043 alpha=107.05 beta=110.70 gamma=110.70
With the nearest neighbours (Å) after each atom.
Atoms (fractional coordinates):
Ti (0.1195, 0.2445, 0.6250)  2 N 1.95
Ti (0.8805, 0.5055, 0.1250)  2 N 1.95
Ti (0.6195, 0.3750, 0.4945)  2 N 1.95
Ti (0.3805, 0.8750, 0.7555)  2 N 1.95
N (0.0000, 0.5000, 0.5000)  4 Ti 1.95
N (0.5000, 0.2500, 0.7500)  4 Ti 1.95
Sb (0.5000, 0.7500, 0.2500)  8 Ti 2.91-3.02
Sb (0.0000, 0.0000, 0.0000)  8 Ti 2.91-3.02

symmetry: I-42d (122)
total magnetization: 0.00 μB/f.u.
energy: -8.34 eV per atom



This record from Alexandria describes Cr2TcRu after structural relaxation. The functional is PBEsol.

Unit cell a=2.9419 b=4.2394 c=4.8083 alpha=116.16 beta=107.81 gamma=90.00
With the nearest neighbours (Å) after each atom.
Atoms (fractional coordinates):
Cr (0.7382, 0.7382, 0.4764)  2 Tc 2.43, 2 Ru 2.58, 4 Cr 2.59
Cr (0.2618, 0.2618, 0.5236)  2 Tc 2.43, 2 Ru 2.58, 4 Cr 2.59
Ru (0.5000, 0.0000, 0.0000)  4 Tc 2.58, 8 Cr 2.58-2.87
Tc (0.0000, 0.5000, 0.0000)  4 Cr 2.43, 4 Ru 2.58

formation energy: 0.226 eV per atom
symmetry: Immm (71)
total magnetization: 0.00 μB/f.u.



This record from Alexandria describes CrTeP2S after structural relaxation. The functional is PBEsol.

Unit cell a=4.1748 b=4.6234 c=4.6234 alpha=90.00 beta=90.00 gamma=90.00
With the nearest neighbours (Å) after each atom.
Atoms (fractional coordinates):
Cr (0.0000, 0.0000, 0.0000)  2 S 2.09, 4 P 2.31
S (0.5000, 0.0000, 0.0000)  2 Cr 2.09
P (0.0000, 0.5000, 0.0000)  2 Cr 2.31
P (0.0000, 0.0000, 0.5000)  2 Cr 2.31
Te (0.5000, 0.5000, 0.5000)  8 P 3.11, 4 S 3.27

symmetry: P4/mmm (123)
total magnetization: 0.00 μB/f.u.
energy: -5.68 eV per atom



This record from Alexandria describes NaGaSe2N after structural relaxation. The functional is PBEsol.

Unit cell a=3.5354 b=5.3896 c=5.3896 alpha=90.00 beta=90.00 gamma=90.00
With the nearest neighbours (Å) after each atom.
Atoms (fractional coordinates):
N (0.5000, 0.0000, 0.0000)  2 Ga 1.77
Se (0.0000, 0.0000, 0.5000)  2 Ga 2.69
Se (0.0000, 0.5000, 0.0000)  2 Ga 2.69
Ga (0.0000, 0.0000, 0.0000)  2 N 1.77
Na (0.5000, 0.5000, 0.5000)  8 Se 3.22, 2 Na 3.54

symmetry: P4/mmm (123)
total magnetization: 1.67 μB/f.u.
energy: -3.95 eV per atom



This record from Alexandria describes P2HWS after structural relaxation. The functional is PBEsol.

Unit cell a=3.5613 b=3.5613 c=4.6787 alpha=90.00 beta=90.00 gamma=90.00
With the nearest neighbours (Å) after each atom.
Atoms (fractional coordinates):
W (0.5000, 0.5000, 0.5000)  4 S 2.52
P (0.0000, 0.5000, 0.0000)  2 H 1.78
P (0.5000, 0.0000, 0.0000)  2 H 1.78
H (0.0000, 0.0000, 0.0000)  4 P 1.78
S (0.0000, 0.0000, 0.5000)  2 H 2.34, 4 W 2.52

symmetry: P4/mmm (123)
total magnetization: 0.00 μB/f.u.
energy: -5.90 eV per atom



This record from Alexandria describes Ta2AsAu after structural relaxation. The functional is PBEsol.

Unit cell a=3.7239 b=4.6952 c=4.8961 alpha=118.65 beta=112.35 gamma=90.00
With the nearest neighbours (Å) after each atom.
Atoms (fractional coordinates):
Ta (0.2263, 0.2263, 0.4527)  2 As 2.56, 2 Au 2.82
Ta (0.7737, 0.7737, 0.5473)  2 As 2.56, 2 Au 2.82
Au (0.0000, 0.5000, 0.0000)  8 Ta 2.82-2.93, 4 As 3.00
As (0.5000, 0.0000, 0.0000)  4 Ta 2.56

formation energy: -0.104 eV per atom
symmetry: Immm (71)
total magnetization: 0.00 μB/f.u.



This record from Alexandria describes Li4LaSe after structural relaxation. The functional is PBEsol.

Unit cell a=5.5598 b=5.5598 c=5.5598 alpha=60.00 beta=60.00 gamma=60.00
With the nearest neighbours (Å) after each atom.
Atoms (fractional coordinates):
Li (0.3771, 0.3771, 0.8688)  6 Li 2.73-2.83
Li (0.3771, 0.8688, 0.3771)  6 Li 2.73-2.83
Li (0.8688, 0.3771, 0.3771)  6 Li 2.73-2.83
Li (0.3771, 0.3771, 0.3771)  6 Li 2.73-2.83
La (0.0000, 0.0000, 0.0000)  12 Li 3.26, 4 Se 3.40
Se (0.7500, 0.7500, 0.7500)  12 Li 3.25, 4 La 3.40

symmetry: F-43m (216)
total magnetization: 0.57 μB/f.u.
energy: -2.99 eV per atom



This record from Alexandria describes CuBr after structural relaxation. The functional is PBEsol.

Unit cell a=6.1318 b=6.5815 c=6.1318 alpha=62.24 beta=90.00 gamma=117.76
With the nearest neighbours (Å) after each atom.
Atoms (fractional coordinates):
Cu (0.3750, 0.2500, 0.8750)  2 Br 2.24
Cu (0.8750, 0.7500, 0.3750)  2 Br 2.24
Cu (0.8750, 0.7500, 0.8750)  2 Br 2.24
Cu (0.8750, 0.2500, 0.8750)  2 Br 2.24
Br (0.7098, 0.4196, 0.2902)  2 Cu 2.24
Br (0.2902, 0.5804, 0.7098)  2 Cu 2.24
Br (0.4598, 0.9196, 0.0402)  2 Cu 2.24
Br (0.0402, 0.0804, 0.4598)  2 Cu 2.24

symmetry: I4_1/amd (141)
total magnetization: 0.00 μB/f.u.
energy: -3.22 eV per atom



This record from Alexandria describes Cu3Ni after structural relaxation. The functional is PBEsol.

Unit cell a=2.4589 b=3.5922 c=5.3355 alpha=90.00 beta=112.82 gamma=90.00
With the nearest neighbours (Å) after each atom.
Atoms (fractional coordinates):
Cu (0.5000, 0.5000, 0.0000)  10 Cu 2.46-2.56, 2 Ni 2.47
Cu (0.7461, 0.0000, 0.7470)  8 Cu 2.44-2.56, 4 Ni 2.45-2.54
Cu (0.2539, 0.0000, 0.2530)  8 Cu 2.44-2.56, 4 Ni 2.45-2.54
Ni (0.0000, 0.5000, 0.5000)  10 Cu 2.45-2.54, 2 Ni 2.46

formation energy: 0.021 eV per atom
symmetry: P2/m (10)
total magnetization: 0.00 μB/f.u.



This record from Alexandria describes MgInSb2 after structural relaxation. The functional is PBEsol.

Unit cell a=3.2011 b=3.2011 c=9.8490 alpha=90.00 beta=90.00 gamma=99.12
With the nearest neighbours (Å) after each atom.
Atoms (fractional coordinates):
Sb (0.0000, 0.0000, 0.0321)  4 Mg 3.00-3.26, 4 Sb 3.20
Sb (0.5000, 0.5000, 0.7318)  4 Sb 3.20, 4 In 3.20-3.45
Mg (0.5000, 0.5000, 0.2520)  4 Sb 3.00-3.26, 4 In 3.09-3.34, 4 Mg 3.20
In (0.0000, 0.0000, 0.4841)  4 Mg 3.09-3.34, 4 In 3.20, 4 Sb 3.20-3.45

symmetry: Cmm2 (35)
total magnetization: 0.00 μB/f.u.
energy: -3.44 eV per atom



This record from Alexandria describes HfCdAs3 after structural relaxation. The functional is PBEsol.

Unit cell a=5.0722 b=5.0722 c=5.0722 alpha=90.00 beta=90.00 gamma=90.00
With the nearest neighbours (Å) after each atom.
Atoms (fractional coordinates):
As (0.0000, 0.0000, 0.5000)  2 Hf 2.54
As (0.0000, 0.5000, 0.0000)  2 Hf 2.54
As (0.5000, 0.0000, 0.0000)  2 Hf 2.54
Hf (0.0000, 0.0000, 0.0000)  6 As 2.54
Cd (0.5000, 0.5000, 0.5000)  12 As 3.59

formation energy: 0.255 eV per atom
symmetry: Pm-3m (221)
total magnetization: 0.00 μB/f.u.



This record from Alexandria describes Ba3MgBi after structural relaxation. The functional is PBEsol.

Unit cell a=6.3310 b=6.3310 c=6.3310 alpha=90.00 beta=90.00 gamma=90.00
With the nearest neighbours (Å) after each atom.
Atoms (fractional coordinates):
Ba (0.5000, 0.0000, 0.0000)  2 Mg 3.17
Ba (0.0000, 0.0000, 0.5000)  2 Mg 3.17
Ba (0.0000, 0.5000, 0.0000)  2 Mg 3.17
Mg (0.0000, 0.0000, 0.0000)  6 Ba 3.17
Bi (0.5000, 0.5000, 0.5000)  12 Ba 4.48

formation energy: 0.113 eV per atom
symmetry: Pm-3m (221)
total magnetization: 0.00 μB/f.u.



This record from Alexandria describes Fe2AsAu after structural relaxation. The functional is PBEsol.

Unit cell a=3.9817 b=4.6820 c=4.6726 alpha=129.78 beta=115.22 gamma=90.00
With the nearest neighbours (Å) after each atom.
Atoms (fractional coordinates):
Fe (0.2823, 0.2173, 0.5646)  3 As 2.37-2.38, 3 Fe 2.60-2.61
Fe (0.7177, 0.7827, 0.4354)  3 As 2.37-2.38, 3 Fe 2.60-2.61
As (0.0000, 0.5000, 0.0000)  6 Fe 2.37-2.38
Au (0.5000, 0.0000, 0.0000)  8 Fe 2.66-2.70

formation energy: 0.178 eV per atom
symmetry: C2/m (12)
total magnetization: 3.89 μB/f.u.



This record from Alexandria describes Sr2TeRh after structural relaxation. The functional is PBEsol.

Unit cell a=4.4992 b=4.4700 c=6.1579 alpha=90.00 beta=111.43 gamma=90.00
With the nearest neighbours (Å) after each atom.
Atoms (fractional coordinates):
Te (0.6888, 0.0000, 0.3777)  2 Rh 2.67
Sr (0.9838, 0.0000, 0.9676)  3 Te 3.25-3.38, 4 Rh 3.29
Sr (0.2666, 0.5000, 0.5333)  3 Rh 3.26-3.38, 4 Te 3.29
Rh (0.5611, 0.5000, 0.1221)  2 Te 2.67

symmetry: Amm2 (38)
total magnetization: 0.00 μB/f.u.
energy: -4.55 eV per atom